Record 1
A geometry-optimized KPrMnBr6 structure. Source: Alexandria via LeMat-Bulk, functional PBE.

Output
Total energy, eV/atom: -4.277
Crystal system: trigonal

Lattice parameters (Å, degrees): 7.315 7.315 14.570 90.00 90.00 120.00
Each line ends with the local moment (μB).
Sites, in units of the cell vectors:
1 Br 0.358 0.381 0.861  0.03
2 Br 0.023 0.642 0.861  0.03
3 Mn 0.667 0.333 0.250  4.41
4 Br 0.642 0.023 0.361  0.03
5 Mn 0.333 0.667 0.750  4.41
6 Br 0.023 0.381 0.639  0.03
7 Br 0.977 0.358 0.139  0.03
8 Pr 0.667 0.333 0.750  0.01
9 Br 0.381 0.358 0.361  0.03
10 Br 0.977 0.619 0.361  0.03
11 Br 0.358 0.977 0.639  0.03
12 Br 0.619 0.642 0.639  0.03
13 Br 0.642 0.619 0.139  0.03
14 Br 0.619 0.977 0.861  0.03
15 K 0.000 0.000 0.500  0.00
16 Br 0.381 0.023 0.139  0.03
17 Pr 0.333 0.667 0.250  0.01
18 K 0.000 0.000 0.000  0.00

=====

Record 2
A geometry-optimized KMn2PtBr structure. Source: Alexandria via LeMat-Bulk, functional PBE.

Output
Total energy, eV/atom: -4.562
Crystal system: tetragonal

Lattice parameters (Å, degrees): 4.821 5.155 4.821 90.00 90.00 90.00
Each line ends with the local moment (μB).
Sites, in units of the cell vectors:
1 Mn 0.000 0.000 0.500  3.62
2 K 0.500 0.500 0.500  -0.02
3 Mn 0.500 0.000 0.000  3.71
4 Br 0.000 0.000 0.000  -0.03
5 Pt 0.000 0.500 0.000  0.10

=====

Record 3
A geometry-optimized KPu2MnBr8 structure. Source: Alexandria via LeMat-Bulk, functional PBE.

Output
Total energy, eV/atom: -5.706
Crystal system: triclinic

Lattice parameters (Å, degrees): 7.011 6.757 8.946 89.95 89.97 86.98
Each line ends with the local moment (μB).
Sites, in units of the cell vectors:
1 K 0.000 0.000 0.500  0.00
2 Br 0.635 0.725 0.500  0.03
3 Br 0.365 0.275 0.500  0.03
4 Br 0.841 0.231 0.790  0.04
5 Br 0.333 0.260 0.000  0.05
6 Br 0.840 0.230 0.210  0.04
7 Pu 0.500 0.500 0.241  -5.41
8 Br 0.667 0.740 0.000  0.05
9 Br 0.160 0.770 0.790  0.04
10 Mn 0.000 0.000 0.000  4.35
11 Br 0.159 0.769 0.210  0.04
12 Pu 0.500 0.500 0.759  -5.41

=====

> Number 1 is which compound?

KPrMnBr6